Computed, not measured: Ta2CrBr after structural relaxation at the GGA-PBE level of DFT.

The structure in CIF format:
```
data_Ta2CrBr
_symmetry_space_group_name_H-M 'P 4/m m m'
_symmetry_Int_Tables_number 123
_symmetry_space_group_name_Hall '-P 4 2'
_cell_length_a 4.641
_cell_length_b 4.641
_cell_length_c 3.084
_cell_angle_alpha 90.00
_cell_angle_beta 90.00
_cell_angle_gamma 90.00
loop_
_atom_site_label
_atom_site_fract_x
_atom_site_fract_y
_atom_site_fract_z
Ta1 0.000 0.500 0.000
Cr1 0.000 0.000 0.500
Br1 0.500 0.500 0.500
```

Computed properties:
Relative energy among the computed polymorphs in eV/atom: 0.4507
Magnetic moment in μB/f.u.: 0.98
Density in Mg/m³: 12.344
DOS at the Fermi energy in states/eV/cell: 4.06



Computed, not measured: Ta2CrBr after structural relaxation at the GGA-PBE level of DFT.

The structure in CIF format:
```
data_Ta2CrBr
_symmetry_space_group_name_H-M 'R -3 m'
_symmetry_Int_Tables_number 166
_symmetry_space_group_name_Hall '-R 3 2"'
_cell_length_a 3.1600
_cell_length_b 3.1600
_cell_length_c 24.6153
_cell_angle_alpha 90.00
_cell_angle_beta 90.00
_cell_angle_gamma 120.00
loop_
_atom_site_label
_atom_site_fract_x
_atom_site_fract_y
_atom_site_fract_z
Ta1 0.0000 0.0000 0.2391
Cr1 0.0000 0.0000 0.5000
Br1 0.0000 0.0000 0.0000
```

Computed properties:
Relative energy among the computed polymorphs in eV/atom: 0.0962
Magnetic moment in μB/f.u.: 0.00
Density in Mg/m³: 11.556
DOS at the Fermi energy in states/eV/cell: 9.60



Computed, not measured: Ta2CrBr after structural relaxation at the GGA-PBE level of DFT.

The structure in CIF format:
```
data_Ta2CrBr
_symmetry_space_group_name_H-M 'P 4 m m'
_symmetry_Int_Tables_number 99
_cell_length_a 3.222
_cell_length_b 3.222
_cell_length_c 7.283
_cell_angle_alpha 90.00
_cell_angle_beta 90.00
_cell_angle_gamma 90.00
loop_
_symmetry_equiv_pos_as_xyz
'x,y,z'
'-y,x,z'
'-x,-y,z'
'y,-x,z'
'-x,y,z'
'y,x,z'
'x,-y,z'
'-y,-x,z'
loop_
_atom_site_label
_atom_site_fract_x
_atom_site_fract_y
_atom_site_fract_z
Ta1 0.000 0.000 0.000
Ta2 0.500 0.500 0.234
Cr1 0.500 0.500 0.821
Br1 0.000 0.000 0.503
```

Computed properties:
Relative energy among the computed polymorphs in eV/atom: 0.0899
Magnetic moment in μB/f.u.: 1.89
Density in Mg/m³: 10.846
DOS at the Fermi energy in states/eV/cell: 2.81



Computed, not measured: Ta2CrBr after structural relaxation at the GGA-PBE level of DFT.

The structure in CIF format:
```
data_Ta2CrBr
_symmetry_space_group_name_H-M 'C 1 2/m 1'
_symmetry_Int_Tables_number 12
_cell_length_a 5.923
_cell_length_b 7.531
_cell_length_c 3.058
_cell_angle_alpha 90.00
_cell_angle_beta 101.88
_cell_angle_gamma 90.00
loop_
_symmetry_equiv_pos_as_xyz
'x,y,z'
'-x,-y,-z'
'-x,y,-z'
'x,-y,z'
'x+1/2,y+1/2,z'
'-x+1/2,-y+1/2,-z'
'-x+1/2,y+1/2,-z'
'x+1/2,-y+1/2,z'
loop_
_atom_site_label
_atom_site_fract_x
_atom_site_fract_y
_atom_site_fract_z
Ta1 0.250 0.250 0.000
Cr1 0.000 0.000 0.500
Br1 0.000 0.500 0.500
```

Computed properties:
Relative energy among the computed polymorphs in eV/atom: 0.4104
Magnetic moment in μB/f.u.: 0.00
Density in Mg/m³: 12.284
DOS at the Fermi energy in states/eV/cell: 7.97



Computed, not measured: Ta2CrBr after structural relaxation at the GGA-PBE level of DFT.

The structure in CIF format:
```
data_Ta2CrBr
_symmetry_space_group_name_H-M 'C m m m'
_symmetry_Int_Tables_number 65
_symmetry_space_group_name_Hall '-C 2 2'
_cell_length_a 3.247
_cell_length_b 5.100
_cell_length_c 8.581
_cell_angle_alpha 90.00
_cell_angle_beta 90.00
_cell_angle_gamma 90.00
loop_
_atom_site_label
_atom_site_fract_x
_atom_site_fract_y
_atom_site_fract_z
Ta1 0.000 0.000 0.221
Cr1 0.000 0.500 0.000
Br1 0.000 0.500 0.500
```

Computed properties:
Relative energy among the computed polymorphs in eV/atom: 0.1105
Magnetic moment in μB/f.u.: 0.00
Density in Mg/m³: 11.541
DOS at the Fermi energy in states/eV/cell: 6.22



Computed, not measured: Ta3CrBr after structural relaxation at the GGA-PBE level of DFT.

The structure in CIF format:
```
data_Ta3CrBr
_symmetry_space_group_name_H-M 'P m -3 m'
_symmetry_Int_Tables_number 221
_symmetry_space_group_name_Hall '-P 4 2 3'
_cell_length_a 4.703
_cell_length_b 4.703
_cell_length_c 4.703
_cell_angle_alpha 90.00
_cell_angle_beta 90.00
_cell_angle_gamma 90.00
loop_
_atom_site_label
_atom_site_fract_x
_atom_site_fract_y
_atom_site_fract_z
Ta1 0.000 0.000 0.500
Cr1 0.000 0.000 0.000
Br1 0.500 0.500 0.500
```

Computed properties:
Relative energy among the computed polymorphs in eV/atom: 0.0000
Magnetic moment in μB/f.u.: 0.00
Density in Mg/m³: 10.771
DOS at the Fermi energy in states/eV/cell: 5.90